Record 1
Below is Cd2NiSe at its PBEsol-relaxed geometry, with properties calculated at the meta-GGA SCAN level. Values from VASP.

## Properties
The value obtained for the uncorrected energy is -24.25 eV per atom. The density of states at the Fermi level comes out at 1.5 states/eV/cell. As for the raw formation energy: 0.017 eV/atom. The symmetry is P4mm.

The structure in Quantum ESPRESSO input format:
```
&SYSTEM
  ibrav = 0, nat = 4, ntyp = 3
/
ATOMIC_SPECIES
Cd 112.41 Cd.upf
Ni 58.69 Ni.upf
Se 78.96 Se.upf
CELL_PARAMETERS angstrom
-2.9316 0.0904 -1.6342
-1.6345 -0.3329 2.9138
-0.1637 6.5363 0.6550
ATOMIC_POSITIONS crystal
Cd 0.0000 0.0000 0.9958
Cd 0.5000 0.5000 0.2561
Ni 0.0000 0.0000 0.5873
Se 0.5000 0.5000 0.6608
```

Record 2
Below is CdNiSe2 at its PBEsol-relaxed geometry, with properties calculated at the meta-GGA SCAN level. Values from VASP.

## Properties
The value obtained for the uncorrected energy is -21.90 eV per atom. The density of states at the Fermi level comes out at 1.6 states/eV/cell. As for the raw formation energy: -0.210 eV/atom. The symmetry is R-3m.

The structure in Quantum ESPRESSO input format:
```
&SYSTEM
  ibrav = 0, nat = 4, ntyp = 3
/
ATOMIC_SPECIES
Ni 58.69 Ni.upf
Se 78.96 Se.upf
Cd 112.41 Cd.upf
CELL_PARAMETERS angstrom
3.5357 0.0000 0.0000
1.7679 3.0620 0.0000
1.7679 1.0207 7.7436
ATOMIC_POSITIONS crystal
Ni 0.5000 0.5000 0.5000
Se 0.8859 0.8859 0.3422
Se 0.1141 0.1141 0.6578
Cd 0.0000 0.0000 0.0000
```

Record 3
Below is CdNiSnSe2 at its PBEsol-relaxed geometry, with properties calculated at the meta-GGA SCAN level. Values from VASP.

## Properties
The value obtained for the uncorrected energy is -24.37 eV per atom. The density of states at the Fermi level comes out at 3.0 states/eV/cell. As for the raw formation energy: 0.164 eV/atom. The symmetry is P4/mmm.

The structure in Quantum ESPRESSO input format:
```
&SYSTEM
  ibrav = 0, nat = 5, ntyp = 4
/
ATOMIC_SPECIES
Ni 58.69 Ni.upf
Sn 118.71 Sn.upf
Se 78.96 Se.upf
Cd 112.41 Cd.upf
CELL_PARAMETERS angstrom
-2.7270 -3.5766 -1.6332
3.5583 -1.4225 -2.8262
1.6270 -2.8252 3.4704
ATOMIC_POSITIONS crystal
Ni 0.0000 0.0000 0.0000
Sn 0.5000 0.5000 0.5000
Se 0.0000 0.0000 0.5000
Se 0.0000 0.5000 0.0000
Cd 0.5000 0.0000 0.0000
```

Record 4
Below is CdSiNi6 at its PBEsol-relaxed geometry, with properties calculated at the meta-GGA SCAN level. Values from VASP.

## Properties
The value obtained for the uncorrected energy is -17.31 eV per atom. The density of states at the Fermi level comes out at 18.7 states/eV/cell. As for the raw formation energy: -0.122 eV/atom. The symmetry is Cmmm.

The structure in Quantum ESPRESSO input format:
```
&SYSTEM
  ibrav = 0, nat = 32, ntyp = 3
/
ATOMIC_SPECIES
Cd 112.41 Cd.upf
Ni 58.69 Ni.upf
Si 28.09 Si.upf
CELL_PARAMETERS angstrom
-3.3712 -4.8843 1.7223
2.0498 -0.7411 -5.7825
8.3711 -4.5270 3.5475
ATOMIC_POSITIONS crystal
Cd 0.2592 0.7408 0.0000
Cd 0.7408 0.2592 0.0000
Cd 0.5000 0.5000 0.7491
Cd 0.5000 0.5000 0.2509
Ni 0.2463 0.7537 0.7353
Ni 0.8898 0.6457 0.8654
Ni 0.1102 0.3543 0.8654
Ni 0.7537 0.2463 0.7353
Ni 0.3543 0.1102 0.8654
Ni 0.6457 0.8898 0.8654
Ni 0.5000 0.5000 0.5000
Ni 0.1120 0.3666 0.6178
Ni 0.3666 0.1120 0.6178
Ni 0.2463 0.7537 0.2647
Ni 0.8880 0.6334 0.3822
Ni 0.1120 0.3666 0.3822
Ni 0.7537 0.2463 0.2647
Ni 0.3666 0.1120 0.3822
Ni 0.6334 0.8880 0.3822
Ni 0.5000 0.5000 0.0000
Ni 0.1102 0.3543 0.1346
Ni 0.3543 0.1102 0.1346
Ni 0.0000 0.0000 0.5000
Ni 0.6334 0.8880 0.6178
Ni 0.8880 0.6334 0.6178
Ni 0.0000 0.0000 0.0000
Ni 0.6457 0.8898 0.1346
Ni 0.8898 0.6457 0.1346
Si 0.2594 0.7406 0.5000
Si 0.7406 0.2594 0.5000
Si 0.0000 0.0000 0.7455
Si 0.0000 0.0000 0.2545
```

Record 5
Below is CdSiNi2 at its PBEsol-relaxed geometry, with properties calculated at the meta-GGA SCAN level. Values from VASP.

## Properties
The value obtained for the uncorrected energy is -18.24 eV per atom. The density of states at the Fermi level comes out at 1.9 states/eV/cell. As for the raw formation energy: -0.050 eV/atom. The symmetry is Immm.

The structure in Quantum ESPRESSO input format:
```
&SYSTEM
  ibrav = 0, nat = 4, ntyp = 3
/
ATOMIC_SPECIES
Cd 112.41 Cd.upf
Ni 58.69 Ni.upf
Si 28.09 Si.upf
CELL_PARAMETERS angstrom
3.8177 0.0000 0.0000
0.0000 4.3242 0.0000
-1.9089 -2.1621 3.1352
ATOMIC_POSITIONS crystal
Cd 0.0000 0.5000 0.0000
Ni 0.7821 0.7821 0.5643
Ni 0.2179 0.2179 0.4357
Si 0.5000 0.0000 0.0000
```

Record 6
Below is SrCd2Ni at its PBEsol-relaxed geometry, with properties calculated at the meta-GGA SCAN level. Values from VASP.

## Properties
The value obtained for the uncorrected energy is -24.51 eV per atom. The density of states at the Fermi level comes out at 2.3 states/eV/cell. The symmetry is C2/m.

The structure in Quantum ESPRESSO input format:
```
&SYSTEM
  ibrav = 0, nat = 4, ntyp = 3
/
ATOMIC_SPECIES
Cd 112.41 Cd.upf
Ni 58.69 Ni.upf
Sr 87.62 Sr.upf
CELL_PARAMETERS angstrom
3.5855 0.0053 0.0000
-0.3318 4.7040 0.0000
-1.6268 -2.3546 5.3813
ATOMIC_POSITIONS crystal
Cd 0.0000 0.0000 0.5000
Cd 0.5000 0.5000 0.5000
Ni 0.5000 0.0000 0.0000
Sr 0.0000 0.5000 0.0000
```

Record 7
Below is SrCd2Ni at its PBEsol-relaxed geometry, with properties calculated at the meta-GGA SCAN level. Values from VASP.

## Properties
The value obtained for the uncorrected energy is -24.80 eV per atom. The density of states at the Fermi level comes out at 2.0 states/eV/cell. The symmetry is C2/m.

The structure in Quantum ESPRESSO input format:
```
&SYSTEM
  ibrav = 0, nat = 4, ntyp = 3
/
ATOMIC_SPECIES
Cd 112.41 Cd.upf
Ni 58.69 Ni.upf
Sr 87.62 Sr.upf
CELL_PARAMETERS angstrom
3.3897 0.0000 0.0000
0.0000 5.0321 -0.2478
-1.6948 -2.2355 5.2267
ATOMIC_POSITIONS crystal
Cd 0.2974 0.2977 0.5947
Cd 0.7026 0.7023 0.4053
Ni 0.0000 0.5000 0.0000
Sr 0.5000 0.0000 0.0000
```

Record 8
Below is Sr2CdNi2 at its PBEsol-relaxed geometry, with properties calculated at the meta-GGA SCAN level. Values from VASP.

## Properties
The value obtained for the uncorrected energy is -21.33 eV per atom. The density of states at the Fermi level comes out at 4.3 states/eV/cell. The symmetry is I4/mmm.

The structure in Quantum ESPRESSO input format:
```
&SYSTEM
  ibrav = 0, nat = 5, ntyp = 3
/
ATOMIC_SPECIES
Sr 87.62 Sr.upf
Ni 58.69 Ni.upf
Cd 112.41 Cd.upf
CELL_PARAMETERS angstrom
3.4647 0.0000 0.0000
0.0000 3.4647 0.0000
-1.7324 -1.7324 9.7135
ATOMIC_POSITIONS crystal
Sr 0.3731 0.3731 0.7463
Sr 0.6269 0.6269 0.2537
Ni 0.2500 0.7500 0.5000
Ni 0.7500 0.2500 0.5000
Cd 0.0000 0.0000 0.0000
```